Record 1
## Cs4CdPb4 (PBE)

Data for a relaxed structure of Cs4CdPb4.

The structure belongs to space group I-42m (No. 121); the cell edges are 7.7577, 7.7577 and 17.1621 Å and the angles 90.00°, 90.00° and 90.00°. The asymmetric unit holds Cs at (0.1778, 0.1778, 0.3755), Cd at (0.0000, 0.0000, 0.0000) and Pb at (0.1388, 0.1388, 0.1504).

The calculated formation energy comes out at 55.4 kJ/mol of formula units. The value obtained for the total energy is -37.2 eV/cell. Its total magnetization is 0.0 μB per cell.

=====

Record 2
## Cs3Cd3Pb2 (PBE)

Data for a relaxed structure of Cs3Cd3Pb2.

The structure belongs to space group Cmcm (No. 63); the cell edges are 5.0955, 14.8743 and 19.2224 Å and the angles 90.00°, 90.00° and 90.00°. The asymmetric unit holds Cs at (0.0000, 0.0620, 0.1044), Cs at (0.0000, 0.3794, 0.2500), Cd at (0.0000, 0.3070, 0.0292), Cd at (0.0000, 0.3333, 0.7500) and Pb at (0.0000, 0.2134, 0.6130).

The calculated formation energy comes out at -74.7 kJ/mol of formula units. The value obtained for the total energy is -54.0 eV/cell. Its total magnetization is 0.0 μB per cell.

=====

Record 3
## Cs2CdPdPb (PBE)

Data for a relaxed structure of Cs2CdPdPb.

The structure belongs to space group P4/mmm (No. 123); the cell edges are 6.8330, 6.8330 and 5.2729 Å and the angles 90.00°, 90.00° and 90.00°. The asymmetric unit holds Cs at (0.0000, 0.5000, 0.0000), Cd at (0.0000, 0.0000, 0.5000), Pd at (0.5000, 0.5000, 0.0000) and Pb at (0.5000, 0.5000, 0.5000).

The calculated formation energy comes out at 13.1 kJ/mol of formula units. The value obtained for the total energy is -11.4 eV/cell. Its total magnetization is 0.0 μB per cell.

=====

Record 4
## CsCd2PdPb (PBE)

Data for a relaxed structure of CsCd2PdPb.

The structure belongs to space group P4/mmm (No. 123); the cell edges are 5.4612, 5.4612 and 5.3943 Å and the angles 90.00°, 90.00° and 90.00°. The asymmetric unit holds Cs at (0.0000, 0.0000, 0.0000), Cd at (0.0000, 0.5000, 0.5000), Pd at (0.5000, 0.5000, 0.5000) and Pb at (0.5000, 0.5000, 0.0000).

The calculated formation energy comes out at -55.4 kJ/mol of formula units. The value obtained for the total energy is -12.2 eV/cell. Its total magnetization is 0.0 μB per cell.

=====

Record 5
## CsCd2PtPb (PBE)

Data for a relaxed structure of CsCd2PtPb.

The structure belongs to space group P4/mmm (No. 123); the cell edges are 5.4357, 5.4357 and 5.4526 Å and the angles 90.00°, 90.00° and 90.00°. The asymmetric unit holds Cs at (0.0000, 0.0000, 0.0000), Cd at (0.0000, 0.5000, 0.5000), Pt at (0.5000, 0.5000, 0.5000) and Pb at (0.5000, 0.5000, 0.0000).

The calculated formation energy comes out at -74.6 kJ/mol of formula units. The value obtained for the total energy is -13.2 eV/cell. Its total magnetization is 0.0 μB per cell.

=====

Record 6
## Cs2Rb4CdPb2 (PBE)

Data for a relaxed structure of Cs2Rb4CdPb2.

The structure belongs to space group C2/m (No. 12); the cell edges are 16.2090, 9.3157 and 6.7601 Å and the angles 90.00°, 104.92° and 90.00°. The asymmetric unit holds Cs at (0.1428, 0.0000, 0.2160), Rb at (0.1298, 0.2804, 0.7025), Cd at (0.0000, 0.5000, 0.0000) and Pb at (0.1778, 0.5000, 0.2341).

The calculated formation energy comes out at -49.9 kJ/mol of formula units. The value obtained for the total energy is -28.9 eV/cell. Its total magnetization is 0.6 μB per cell.